Compound: LiAcGaRh
Source: Alexandria via LeMat-Bulk
Functional: PBE
Structure: optimized geometry

Cell lengths 4.4333, 4.4333, 15.4466 Å; angles 90.00, 90.00, 120.00 degrees
Element x y z (fractional)
Li 0.0000 0.0000 0.0000
Li 0.3333 0.6667 0.6667
Li 0.6667 0.3333 0.3333
Ac 0.0000 0.0000 0.8059
Ac 0.3333 0.6667 0.4726
Ac 0.6667 0.3333 0.1392
Ga 0.0000 0.0000 0.2878
Ga 0.3333 0.6667 0.9544
Ga 0.6667 0.3333 0.6211
Rh 0.0000 0.0000 0.6006
Rh 0.3333 0.6667 0.2673
Rh 0.6667 0.3333 0.9339

Formation energy ... -2.2 eV per formula unit
D(E_F) ... 6.7 states/eV/cell
Crystal system ... trigonal
Final energy ... -0.342 Ry/atom
Space-group type ... R3m, No. 160
V ... 21.911 Å³ per atom
Excess energy over the best structure of this formula in the dataset ... 0.000 eV per atom


Compound: LiAc2Ga3Rh4
Source: Alexandria via LeMat-Bulk
Functional: PBE
Structure: optimized geometry

Cell lengths 4.3311, 4.3311, 10.5059 Å; angles 90.00, 90.00, 90.00 degrees
Element x y z (fractional)
Li 0.0000 0.0000 0.0000
Ac 0.0000 0.5000 0.7473
Ac 0.5000 0.0000 0.2527
Ga 0.0000 0.5000 0.3810
Ga 0.5000 0.0000 0.6190
Ga 0.5000 0.5000 0.0000
Rh 0.0000 0.0000 0.5000
Rh 0.0000 0.5000 0.1377
Rh 0.5000 0.0000 0.8623
Rh 0.5000 0.5000 0.5000

Formation energy ... -7.3 eV per formula unit
D(E_F) ... 2.7 states/eV/cell
Crystal system ... tetragonal
Final energy ... -0.411 Ry/atom
Space-group type ... P-4m2, No. 115
V ... 19.708 Å³ per atom


Compound: LiAcGaRu
Source: Alexandria via LeMat-Bulk
Functional: PBE
Structure: optimized geometry

Cell lengths 6.8618, 6.8618, 6.8618 Å; angles 90.00, 90.00, 90.00 degrees
Element x y z (fractional)
Li 0.0000 0.0000 0.0000
Li 0.0000 0.5000 0.5000
Li 0.5000 0.0000 0.5000
Li 0.5000 0.5000 0.0000
Ac 0.2500 0.2500 0.2500
Ac 0.2500 0.7500 0.7500
Ac 0.7500 0.2500 0.7500
Ac 0.7500 0.7500 0.2500
Ga 0.2500 0.2500 0.7500
Ga 0.2500 0.7500 0.2500
Ga 0.7500 0.2500 0.2500
Ga 0.7500 0.7500 0.7500
Ru 0.0000 0.0000 0.5000
Ru 0.0000 0.5000 0.0000
Ru 0.5000 0.0000 0.0000
Ru 0.5000 0.5000 0.5000

Formation energy ... -0.4 eV per formula unit
D(E_F) ... 7.2 states/eV/cell
Crystal system ... cubic
Final energy ... -0.344 Ry/atom
Space-group type ... F-43m, No. 216
V ... 20.193 Å³ per atom


Compound: LiAc2GaS5
Source: Alexandria via LeMat-Bulk
Functional: PBE
Structure: optimized geometry

Cell lengths 8.9898, 8.9898, 11.8050 Å; angles 90.00, 90.00, 154.03 degrees
Element x y z (fractional)
Li 0.2151 0.7849 0.5000
Li 0.7849 0.2151 0.0000
Ac 0.1240 0.8760 0.1649
Ac 0.1336 0.8664 0.7857
Ac 0.8664 0.1336 0.2857
Ac 0.8760 0.1240 0.6649
Ga 0.4331 0.5669 0.9298
Ga 0.5669 0.4331 0.4298
S 0.0439 0.9561 0.5310
S 0.2936 0.7064 0.1432
S 0.3154 0.6846 0.8429
S 0.3557 0.6443 0.4806
S 0.4993 0.5007 0.7600
S 0.5007 0.4993 0.2600
S 0.6443 0.3557 0.9806
S 0.6846 0.3154 0.3429
S 0.7064 0.2936 0.6432
S 0.9561 0.0439 0.0310

Crystal system ... orthorhombic
Final energy ... -0.397 Ry/atom
Space-group type ... Cmc2_1, No. 36
Formation energy (no corrections) ... -37.86 kcal/mol of atoms
V ... 23.213 Å³ per atom


Compound: LiAcGaSb
Source: Alexandria via LeMat-Bulk
Functional: PBE
Structure: optimized geometry

Cell lengths 7.6132, 7.6132, 7.6132 Å; angles 90.00, 90.00, 90.00 degrees
Element x y z (fractional)
Li 0.0000 0.0000 0.0000
Li 0.0000 0.5000 0.5000
Li 0.5000 0.0000 0.5000
Li 0.5000 0.5000 0.0000
Ac 0.0000 0.0000 0.5000
Ac 0.0000 0.5000 0.0000
Ac 0.5000 0.0000 0.0000
Ac 0.5000 0.5000 0.5000
Ga 0.2500 0.2500 0.2500
Ga 0.2500 0.7500 0.7500
Ga 0.7500 0.2500 0.7500
Ga 0.7500 0.7500 0.2500
Sb 0.2500 0.2500 0.7500
Sb 0.2500 0.7500 0.2500
Sb 0.7500 0.2500 0.2500
Sb 0.7500 0.7500 0.7500

D(E_F) ... 10.9 states/eV/cell
Crystal system ... cubic
Final energy ... -0.275 Ry/atom
Space-group type ... F-43m, No. 216
Formation energy (no corrections) ... -10.25 kcal/mol of atoms
V ... 27.579 Å³ per atom


Compound: LiAc2GaSe5
Source: Alexandria via LeMat-Bulk
Functional: PBE
Structure: optimized geometry

Cell lengths 9.4616, 9.4616, 12.3017 Å; angles 90.00, 90.00, 154.36 degrees
Element x y z (fractional)
Li 0.2147 0.7853 0.5000
Li 0.7853 0.2147 0.0000
Ac 0.1231 0.8769 0.1641
Ac 0.1332 0.8668 0.7847
Ac 0.8668 0.1332 0.2847
Ac 0.8769 0.1231 0.6641
Ga 0.4330 0.5670 0.9294
Ga 0.5670 0.4330 0.4294
Se 0.0431 0.9569 0.5362
Se 0.2924 0.7076 0.1429
Se 0.3151 0.6849 0.8394
Se 0.3556 0.6444 0.4788
Se 0.5000 0.5000 0.2568
Se 0.5000 0.5000 0.7568
Se 0.6444 0.3556 0.9788
Se 0.6849 0.3151 0.3394
Se 0.7076 0.2924 0.6429
Se 0.9569 0.0431 0.0362

Crystal system ... orthorhombic
Final energy ... -0.361 Ry/atom
Space-group type ... Cmc2_1, No. 36
Formation energy (no corrections) ... -35.05 kcal/mol of atoms
V ... 26.476 Å³ per atom


Compound: Li2AcGaSe4
Source: Alexandria via LeMat-Bulk
Functional: PBE
Structure: optimized geometry

Cell lengths 8.1943, 8.1943, 7.7859 Å; angles 117.88, 117.88, 89.43 degrees
Element x y z (fractional)
Li 0.0000 0.0000 0.0000
Li 0.0000 0.0000 0.5000
Li 0.0000 0.5000 0.0000
Li 0.5000 0.0000 0.5000
Ac 0.0000 0.5000 0.5000
Ac 0.5000 0.0000 0.0000
Ga 0.5000 0.5000 0.0000
Ga 0.5000 0.5000 0.5000
Se 0.2273 0.7685 0.0168
Se 0.2315 0.7727 0.4832
Se 0.2826 0.3155 0.0341
Se 0.3155 0.2826 0.5341
Se 0.6845 0.7174 0.4659
Se 0.7174 0.6845 0.9659
Se 0.7685 0.2273 0.5168
Se 0.7727 0.2315 0.9832

D(E_F) ... 0.7 states/eV/cell
Crystal system ... monoclinic
Final energy ... -0.312 Ry/atom
Space-group type ... C2/c, No. 15
Formation energy (no corrections) ... -26.25 kcal/mol of atoms
V ... 24.602 Å³ per atom


Compound: LiAcGaSi2
Source: Alexandria via LeMat-Bulk
Functional: PBE
Structure: optimized geometry

Cell lengths 4.3393, 4.3393, 10.8812 Å; angles 90.00, 90.00, 90.00 degrees
Element x y z (fractional)
Li 0.0000 0.0000 0.0000
Li 0.5000 0.5000 0.5000
Ac 0.0000 0.5000 0.2500
Ac 0.5000 0.0000 0.7500
Ga 0.0000 0.0000 0.5000
Ga 0.5000 0.5000 0.0000
Si 0.0000 0.5000 0.6376
Si 0.0000 0.5000 0.8624
Si 0.5000 0.0000 0.1376
Si 0.5000 0.0000 0.3624

D(E_F) ... 4.6 states/eV/cell
Crystal system ... tetragonal
Final energy ... -0.325 Ry/atom
Space-group type ... I-4m2, No. 119
Formation energy (no corrections) ... -10.20 kcal/mol of atoms
V ... 20.489 Å³ per atom


Compound: LiAcGa2Si
Source: Alexandria via LeMat-Bulk
Functional: PBE
Structure: optimized geometry

Cell lengths 4.4568, 4.4568, 10.5121 Å; angles 90.00, 90.00, 90.00 degrees
Element x y z (fractional)
Li 0.0000 0.0000 0.0000
Li 0.5000 0.5000 0.5000
Ac 0.0000 0.5000 0.7500
Ac 0.5000 0.0000 0.2500
Ga 0.0000 0.5000 0.1278
Ga 0.0000 0.5000 0.3722
Ga 0.5000 0.0000 0.6278
Ga 0.5000 0.0000 0.8722
Si 0.0000 0.0000 0.5000
Si 0.5000 0.5000 0.0000

D(E_F) ... 3.9 states/eV/cell
Crystal system ... tetragonal
Final energy ... -0.287 Ry/atom
Space-group type ... I-4m2, No. 119
Formation energy (no corrections) ... -9.46 kcal/mol of atoms
V ... 20.880 Å³ per atom


Compound: Li4Ac2GaSi3
Source: Alexandria via LeMat-Bulk
Functional: PBE
Structure: optimized geometry

Cell lengths 4.4225, 4.4225, 10.5860 Å; angles 90.00, 90.00, 90.00 degrees
Element x y z (fractional)
Li 0.0000 0.0000 0.0000
Li 0.0000 0.5000 0.3699
Li 0.5000 0.0000 0.6301
Li 0.5000 0.5000 0.0000
Ac 0.0000 0.5000 0.7607
Ac 0.5000 0.0000 0.2393
Ga 0.5000 0.5000 0.5000
Si 0.0000 0.0000 0.5000
Si 0.0000 0.5000 0.1296
Si 0.5000 0.0000 0.8704

D(E_F) ... 6.2 states/eV/cell
Crystal system ... tetragonal
Final energy ... -0.284 Ry/atom
Space-group type ... P-4m2, No. 115
Formation energy (no corrections) ... -7.92 kcal/mol of atoms
V ... 20.705 Å³ per atom


Compound: LiAcSmGa
Source: Alexandria via LeMat-Bulk
Functional: PBE
Structure: optimized geometry

Cell lengths 7.6442, 7.6442, 7.6442 Å; angles 90.00, 90.00, 90.00 degrees
Element x y z (fractional)
Li 0.0000 0.0000 0.0000
Li 0.0000 0.5000 0.5000
Li 0.5000 0.0000 0.5000
Li 0.5000 0.5000 0.0000
Ac 0.2500 0.2500 0.7500
Ac 0.2500 0.7500 0.2500
Ac 0.7500 0.2500 0.2500
Ac 0.7500 0.7500 0.7500
Sm 0.2500 0.2500 0.2500
Sm 0.2500 0.7500 0.7500
Sm 0.7500 0.2500 0.7500
Sm 0.7500 0.7500 0.2500
Ga 0.0000 0.0000 0.5000
Ga 0.0000 0.5000 0.0000
Ga 0.5000 0.0000 0.0000
Ga 0.5000 0.5000 0.5000

Formation energy ... -0.9 eV per formula unit
D(E_F) ... 14.7 states/eV/cell
Crystal system ... cubic
Final energy ... -0.270 Ry/atom
Space-group type ... F-43m, No. 216
V ... 27.918 Å³ per atom


Compound: LiAc2GaSn6
Source: Alexandria via LeMat-Bulk
Functional: PBE
Structure: optimized geometry

Cell lengths 8.7671, 9.5220, 6.9931 Å; angles 90.00, 90.00, 90.00 degrees
Element x y z (fractional)
Li 0.2500 0.2500 0.1167
Li 0.7500 0.7500 0.8833
Ac 0.2500 0.0238 0.6864
Ac 0.2500 0.4762 0.6864
Ac 0.7500 0.5238 0.3136
Ac 0.7500 0.9762 0.3136
Ga 0.2500 0.7500 0.4213
Ga 0.7500 0.2500 0.5787
Sn 0.0271 0.2500 0.3981
Sn 0.0304 0.7500 0.0301
Sn 0.2500 0.5288 0.1771
Sn 0.2500 0.9712 0.1771
Sn 0.4696 0.7500 0.0301
Sn 0.4729 0.2500 0.3981
Sn 0.5271 0.7500 0.6019
Sn 0.5304 0.2500 0.9699
Sn 0.7500 0.0288 0.8229
Sn 0.7500 0.4712 0.8229
Sn 0.9696 0.2500 0.9699
Sn 0.9729 0.7500 0.6019

Formation energy ... -3.3 eV per formula unit
D(E_F) ... 8.1 states/eV/cell
Crystal system ... orthorhombic
Final energy ... -0.298 Ry/atom
Space-group type ... Pmmn, No. 59
V ... 29.189 Å³ per atom


Q: What is the formula in the fourth record?
A: LiAc2GaS5